Density functional theory data (GGA-PBE) for crystalline CrSi2Pb at its relaxed geometry.

Summary:
E in eV per atom: -5.56
Crystal system: monoclinic
Raw formation energy in kJ per mole of atoms: 46.9

Cell and atoms, written as POSCAR:
```
CrSi2Pb
1.0
-0.1254 3.2793 -3.0309
0.6179 -2.4320 -2.6569
-4.9232 -1.0833 -0.9685
Cr Pb Si
1 1 2
direct
0.5000 0.2500 0.2500
0.5000 0.7500 0.7500
0.0000 0.0254 0.1009
0.0000 0.4746 0.3991
```

Density functional theory data (GGA-PBE) for crystalline Cr2SiPb at its relaxed geometry.

Summary:
E in eV per atom: -6.47
Crystal system: cubic
Raw formation energy in kJ per mole of atoms: 60.0

Cell and atoms, written as POSCAR:
```
Cr2SiPb
1.0
0.6575 -3.6509 -2.4756
-3.0573 -3.2467 -0.0411
-2.4673 -0.6935 -3.6499
Pb Cr Si
1 2 1
direct
0.5000 0.5000 0.5000
0.2500 0.2500 0.2500
0.7500 0.7500 0.7500
0.0000 0.0000 0.0000
```

| no. | density of states at the Fermi level (states/eV/f.u.) |
| --- | --- |
| 1 | 2.8 |
| 2 | 3.5 |